A plane-wave DFT calculation with PBE was carried out for a geometry-optimized Tb6ThIn structure.

Properties
Total energy: -4.8379 eV/atom

abc: 4.936 4.936 9.976
angles: 90.00 90.00 90.00
Positions (direct):
Tb: 0.000 0.000 0.000
Tb: 0.000 0.000 0.500
Tb: 0.000 0.500 0.246
Tb: 0.000 0.500 0.754
Tb: 0.500 0.000 0.246
Tb: 0.500 0.000 0.754
Th: 0.500 0.500 0.500
In: 0.500 0.500 0.000

A plane-wave DFT calculation with PBE was carried out for a geometry-optimized Tb2ThIn structure.

Properties
E above lowest polymorph: 0.0000 eV per atom

abc: 3.594 3.594 9.062
angles: 90.00 90.00 90.00
Positions (direct):
Tb: 0.000 0.000 0.233
Tb: 0.000 0.000 0.767
Th: 0.500 0.500 0.500
In: 0.500 0.500 0.000

A plane-wave DFT calculation with PBE was carried out for a geometry-optimized Tb4ThIn structure.

Properties
E above lowest polymorph: 0.6527 eV per atom

abc: 8.814 8.814 8.814
angles: 98.68 98.68 134.27
Positions (direct):
Tb: 0.235 0.000 0.235
Tb: 0.244 0.502 0.257
Tb: 0.244 0.987 0.743
Tb: 0.252 0.494 0.757
Tb: 0.737 0.494 0.243
Tb: 0.750 0.015 0.265
Tb: 0.750 0.485 0.735
Tb: 0.765 0.000 0.765
Th: 0.565 0.065 0.500
Th: 0.815 0.815 0.000
In: 0.060 0.560 0.500
In: 0.310 0.310 0.000

A plane-wave DFT calculation with PBE was carried out for a geometry-optimized TbTh2In structure.

Properties
E above lowest polymorph: 0.3987 eV per atom

abc: 12.643 12.643 12.643
angles: 15.82 15.82 15.82
Positions (direct):
Tb: 0.000 0.000 0.000
Th: 0.412 0.412 0.412
Th: 0.588 0.588 0.588
In: 0.500 0.500 0.500

A plane-wave DFT calculation with PBE was carried out for a geometry-optimized Tb5ThIn4 structure.

Properties
Total energy: -4.5405 eV/atom

abc: 3.542 3.542 22.107
angles: 90.00 90.00 90.00
Positions (direct):
Tb: 0.000 0.000 0.000
Tb: 0.000 0.000 0.194
Tb: 0.000 0.000 0.389
Tb: 0.000 0.000 0.611
Tb: 0.000 0.000 0.806
Th: 0.500 0.500 0.500
In: 0.500 0.500 0.097
In: 0.500 0.500 0.292
In: 0.500 0.500 0.708
In: 0.500 0.500 0.903

A plane-wave DFT calculation with PBE was carried out for a geometry-optimized TbThIn4 structure.

Properties
Total energy: -4.1192 eV/atom

abc: 6.050 6.050 6.050
angles: 60.00 60.00 60.00
Positions (direct):
Tb: 0.000 0.000 0.000
Th: 0.250 0.250 0.250
In: 0.125 0.625 0.625
In: 0.625 0.125 0.625
In: 0.625 0.625 0.125
In: 0.625 0.625 0.625

A plane-wave DFT calculation with PBE was carried out for a geometry-optimized TbThIn3 structure.

Properties
Total energy: -3.7372 eV/atom

abc: 12.059 12.059 12.059
angles: 151.63 151.63 40.56
Positions (direct):
Tb: 0.080 0.080 0.000
Tb: 0.920 0.920 0.000
Th: 0.250 0.750 0.500
Th: 0.500 0.500 0.000
In: 0.372 0.125 0.753
In: 0.372 0.620 0.247
In: 0.380 0.628 0.753
In: 0.511 0.011 0.500
In: 0.875 0.628 0.247
In: 0.989 0.489 0.500

A plane-wave DFT calculation with PBE was carried out for a geometry-optimized Tb2Th2In structure.

Properties
Total energy: -4.9528 eV/atom

abc: 8.971 8.971 8.971
angles: 151.04 151.04 41.41
Positions (direct):
Tb: 0.090 0.090 0.000
Tb: 0.910 0.910 0.000
Th: 0.250 0.750 0.500
Th: 0.750 0.250 0.500
In: 0.500 0.500 0.000

A plane-wave DFT calculation with PBE was carried out for a geometry-optimized Tb2ThIn structure.

Properties
E above lowest polymorph: 0.1288 eV per atom

abc: 11.179 11.179 11.179
angles: 18.40 18.40 18.40
Positions (direct):
Tb: 0.000 0.000 0.000
Tb: 0.177 0.177 0.177
Th: 0.422 0.422 0.422
In: 0.588 0.588 0.588

A plane-wave DFT calculation with PBE was carried out for a geometry-optimized Tb2Th2In3 structure.

Properties
Total energy: -4.9292 eV/atom

abc: 12.721 12.721 3.595
angles: 98.06 98.06 20.11
Positions (direct):
Tb: 0.069 0.069 0.068
Tb: 0.931 0.931 0.932
Th: 0.209 0.209 0.208
Th: 0.791 0.791 0.792
In: 0.363 0.363 0.365
In: 0.500 0.500 0.500
In: 0.637 0.637 0.635

A plane-wave DFT calculation with PBE was carried out for a geometry-optimized TbThIn structure.

Properties
E above lowest polymorph: 0.0000 eV per atom

abc: 5.508 5.508 6.655
angles: 90.00 90.00 120.00
Positions (direct):
Tb: 0.333 0.667 0.250
Tb: 0.667 0.333 0.750
Th: 0.000 0.000 0.000
Th: 0.000 0.000 0.500
In: 0.333 0.667 0.750
In: 0.667 0.333 0.250

A plane-wave DFT calculation with PBE was carried out for a geometry-optimized TbThIn structure.

Properties
E above lowest polymorph: 0.1086 eV per atom

abc: 6.030 6.030 6.030
angles: 140.64 140.64 56.88
Positions (direct):
Tb: 0.000 0.000 0.000
Th: 0.317 0.317 0.000
In: 0.649 0.649 0.000